(1)
ZnCuOs2 after structural relaxation, computed with GGA-PBE.

Cell lengths 2.665, 2.665, 8.920 Å; angles 90.00, 90.00, 117.54 degrees
Sites, in units of the cell vectors:
Cu1 0.500 0.500 0.750
Os1 0.000 0.000 0.998
Os2 0.000 0.000 0.502
Zn1 0.500 0.500 0.250

Computed properties:
Raw total energy   -6.56 eV per atom
Formation energy from the elements   395 meV/atom

---

(2)
TbPm2Sm3 after structural relaxation, computed with GGA-PBE.

Cell lengths 7.879, 6.824, 7.879 Å; angles 97.87, 100.59, 82.13 degrees
Sites, in units of the cell vectors:
Tb1 0.523 0.226 0.477
Tb2 0.477 0.774 0.523
Pm1 0.189 0.500 0.189
Pm2 0.163 0.000 0.163
Pm3 0.837 0.000 0.837
Pm4 0.811 0.500 0.811
Sm1 0.567 0.796 0.108
Sm2 0.892 0.796 0.433
Sm3 0.433 0.204 0.892
Sm4 0.226 0.671 0.774
Sm5 0.774 0.329 0.226
Sm6 0.108 0.204 0.567

Computed properties:
Raw total energy   -4.53 eV per atom
Formation energy from the elements   187 meV/atom
Distance to the lowest polymorph of the same formula   121 meV per atom

---

- formation energy from the elements of number 1 (ZnCuOs2)?
  395 meV/atom